Entry 1:
Entry from the Alexandria database: a geometry-optimized ZrPt2Pb structure (PBE-GGA).

Computed properties:
The formation enthalpy at 0 K comes out at -0.67 eV/atom. The calculation puts the volume at 20.4 A^3/atom. As for the total moment: 0.0 μB per formula unit. For the density of states at the Fermi level, the calculation gives 1.4 states/eV/cell. The space group is Pmmm (47).

abc: 3.473 3.494 6.730
angles: 90.00 90.00 90.00
Fractional coordinates of all 4 atoms:
Zr: 0.000 0.000 0.000
Pt: 0.500 0.500 0.209
Pt: 0.500 0.500 0.791
Pb: 0.000 0.000 0.500


Entry 2:
Entry from the Alexandria database: a geometry-optimized ZrPtPb2 structure (PBE-GGA).

Computed properties:
The formation enthalpy at 0 K comes out at 0.03 eV/atom. The calculation puts the volume at 23.5 A^3/atom. As for the total moment: 0.0 μB per formula unit. For the density of states at the Fermi level, the calculation gives 19.0 states/eV/cell. The space group is F-43m (216).

abc: 7.215 7.215 7.215
angles: 90.00 90.00 90.00
Fractional coordinates of all 16 atoms:
Zr: 0.000 0.000 0.000
Zr: 0.000 0.500 0.500
Zr: 0.500 0.000 0.500
Zr: 0.500 0.500 0.000
Pt: 0.250 0.250 0.750
Pt: 0.250 0.750 0.250
Pt: 0.750 0.250 0.250
Pt: 0.750 0.750 0.750
Pb: 0.000 0.000 0.500
Pb: 0.000 0.500 0.000
Pb: 0.250 0.250 0.250
Pb: 0.250 0.750 0.750
Pb: 0.500 0.000 0.000
Pb: 0.500 0.500 0.500
Pb: 0.750 0.250 0.750
Pb: 0.750 0.750 0.250


> The highest volume belongs to which entry?

ZrPtPb2


> What is the volume in the first record?

20.4 A^3/atom


Repeat the first record exactly.
Entry from the Alexandria database: a geometry-optimized ZrPt2Pb structure (PBE-GGA).

Computed properties:
The formation enthalpy at 0 K comes out at -0.67 eV/atom. The calculation puts the volume at 20.4 A^3/atom. As for the total moment: 0.0 μB per formula unit. For the density of states at the Fermi level, the calculation gives 1.4 states/eV/cell. The space group is Pmmm (47).

abc: 3.473 3.494 6.730
angles: 90.00 90.00 90.00
Fractional coordinates of all 4 atoms:
Zr: 0.000 0.000 0.000
Pt: 0.500 0.500 0.209
Pt: 0.500 0.500 0.791
Pb: 0.000 0.000 0.500


> Look up the volume of the second one.

23.5 A^3/atom